Record 1
Compound: TlTe2
Source: Alexandria via LeMat-Bulk
Functional: meta-GGA SCAN
Structure: PBEsol geometry

a = 4.002 Å, b = 5.959 Å, c = 16.237 Å
α = 90.00°, β = 90.00°, γ = 90.00°
Space group Imma (No. 74)
Inequivalent atoms, fractional coordinates:
1 Tl 0.000 0.250 0.163 x4
2 Te 0.000 0.250 0.498 x4
3 Te 0.000 0.250 0.675 x4

- uncorrected energy (eV per cell) = -588.4
- relative energy among the computed polymorphs (meV/atom) = 46.6
- formation energy from raw total energies (eV per atom) = -0.08
- size of the total moment (μB per atom) = 0.00

=====

Record 2
Compound: MgIr2Au
Source: Alexandria via LeMat-Bulk
Functional: meta-GGA SCAN
Structure: PBEsol geometry

a = 2.774 Å, b = 2.774 Å, c = 7.981 Å
α = 90.00°, β = 90.00°, γ = 90.00°
Space group P4mm (No. 99)
Inequivalent atoms, fractional coordinates:
1 Mg 0.000 0.000 0.000 x1
2 Ir 0.000 0.000 0.529 x1
3 Ir 0.500 0.500 0.748 x1
4 Au 0.500 0.500 0.262 x1

- uncorrected energy (eV per cell) = -217.1
- size of the total moment (μB per atom) = 0.00
- calculated formation energy (eV/atom) = -0.1851

=====

Record 3
Compound: Sc3Be4
Source: Alexandria via LeMat-Bulk
Functional: meta-GGA SCAN
Structure: PBEsol geometry

a = 5.7431 Å, b = 5.7431 Å, c = 4.2099 Å
α = 90.00°, β = 90.00°, γ = 120.00°
Space group P6/mmm (No. 191)
Inequivalent atoms, fractional coordinates:
1 Sc 0.0000 0.5000 0.0000 x3
2 Be 0.0000 0.0000 0.2385 x2
3 Be 0.3333 0.6667 0.5000 x2

- uncorrected energy (eV per cell) = -55.9
- size of the total moment (μB per atom) = 0.00
- calculated formation energy (eV/atom) = 0.5989

=====

Record 4
Compound: CaBeP2
Source: Alexandria via LeMat-Bulk
Functional: meta-GGA SCAN
Structure: PBEsol geometry

a = 4.150 Å, b = 4.298 Å, c = 4.174 Å
α = 90.00°, β = 90.09°, γ = 90.00°
Space group Pm (No. 6)
Inequivalent atoms, fractional coordinates:
1 Ca 0.000 0.000 0.000 x1
2 Be 0.494 0.500 0.610 x1
3 P 0.500 0.000 0.504 x1
4 P 0.994 0.500 0.490 x1

- uncorrected energy (eV per cell) = -36.3
- size of the total moment (μB per atom) = 0.00
- calculated formation energy (eV/atom) = -0.3752

=====

Record 5
Compound: TaMoIr2Pt
Source: Alexandria via LeMat-Bulk
Functional: meta-GGA SCAN
Structure: PBEsol geometry

a = 4.581 Å, b = 4.581 Å, c = 4.682 Å
α = 90.00°, β = 90.00°, γ = 90.00°
Space group P4/mmm (No. 123)
Inequivalent atoms, fractional coordinates:
1 Ta 0.000 0.000 0.000 x1
2 Mo 0.500 0.500 0.500 x1
3 Ir 0.000 0.500 0.500 x2
4 Pt 0.500 0.500 0.000 x1

- uncorrected energy (eV per cell) = -305.6
- size of the total moment (μB per atom) = 0.24
- calculated formation energy (eV/atom) = 1.6432

=====

Record 6
Compound: NiHgSe2
Source: Alexandria via LeMat-Bulk
Functional: meta-GGA SCAN
Structure: PBEsol geometry

a = 3.865 Å, b = 3.865 Å, c = 4.864 Å
α = 90.00°, β = 90.00°, γ = 90.00°
Space group P4/mmm (No. 123)
Inequivalent atoms, fractional coordinates:
1 Ni 0.000 0.000 0.000 x1
2 Hg 0.500 0.500 0.000 x1
3 Se 0.000 0.500 0.500 x2

- uncorrected energy (eV per cell) = -122.1
- formation energy from raw total energies (eV per atom) = 0.59
- size of the total moment (μB per atom) = 0.00

=====

Record 7
Compound: MgZr2CoTc
Source: Alexandria via LeMat-Bulk
Functional: meta-GGA SCAN
Structure: PBEsol geometry

a = 4.804 Å, b = 4.804 Å, c = 4.366 Å
α = 90.00°, β = 90.00°, γ = 90.00°
Space group P4/mmm (No. 123)
Inequivalent atoms, fractional coordinates:
1 Mg 0.000 0.000 0.000 x1
2 Zr 0.000 0.500 0.500 x2
3 Co 0.500 0.500 0.500 x1
4 Tc 0.500 0.500 0.000 x1

- uncorrected energy (eV per cell) = -117.0
- size of the total moment (μB per atom) = 0.00
- calculated formation energy (eV/atom) = 0.3553

=====

Record 8
Compound: AgHgW2
Source: Alexandria via LeMat-Bulk
Functional: meta-GGA SCAN
Structure: PBEsol geometry

a = 9.926 Å, b = 2.929 Å, c = 4.672 Å
α = 90.00°, β = 100.81°, γ = 90.00°
Space group C2/m (No. 12)
Inequivalent atoms, fractional coordinates:
1 Ag 0.000 0.000 0.000 x2
2 Hg 0.000 0.500 0.500 x2
3 W 0.250 0.000 0.753 x4

- uncorrected energy (eV per cell) = -471.8
- size of the total moment (μB per atom) = 0.00
- calculated formation energy (eV/atom) = 0.7553

=====

Record 9
Compound: YTcSCl2
Source: Alexandria via LeMat-Bulk
Functional: meta-GGA SCAN
Structure: PBEsol geometry

a = 4.664 Å, b = 4.664 Å, c = 4.568 Å
α = 90.00°, β = 90.00°, γ = 90.00°
Space group P4/mmm (No. 123)
Inequivalent atoms, fractional coordinates:
1 Y 0.000 0.000 0.000 x1
2 Tc 0.500 0.500 0.500 x1
3 S 0.500 0.500 0.000 x1
4 Cl 0.000 0.500 0.500 x2

- uncorrected energy (eV per cell) = -91.3
- formation energy from raw total energies (eV per atom) = -0.57
- size of the total moment (μB per atom) = 0.00

=====

Record 10
Compound: ZnCrRe2
Source: Alexandria via LeMat-Bulk
Functional: meta-GGA SCAN
Structure: PBEsol geometry

a = 2.607 Å, b = 4.118 Å, c = 5.165 Å
α = 90.00°, β = 102.52°, γ = 90.00°
Space group P2/m (No. 10)
Inequivalent atoms, fractional coordinates:
1 Zn 0.000 0.000 0.000 x1
2 Cr 0.500 0.000 0.500 x1
3 Re 0.287 0.500 0.748 x2

- uncorrected energy (eV per cell) = -173.5
- size of the total moment (μB per atom) = 0.24
- calculated formation energy (eV/atom) = 0.1398

=====

Record 11
Compound: ZrSc2Be
Source: Alexandria via LeMat-Bulk
Functional: meta-GGA SCAN
Structure: PBEsol geometry

a = 3.263 Å, b = 4.670 Å, c = 10.072 Å
α = 90.00°, β = 90.00°, γ = 90.00°
Space group Imm2 (No. 44)
Inequivalent atoms, fractional coordinates:
1 Zr 0.000 0.000 0.000 x2
2 Sc 0.000 0.000 0.419 x2
3 Sc 0.000 0.500 0.211 x2
4 Be 0.000 0.500 0.711 x2

- uncorrected energy (eV per cell) = -126.9
- size of the total moment (μB per atom) = 0.00
- calculated formation energy (eV/atom) = 0.0134

=====

Record 12
Compound: Be2GaTcI
Source: Alexandria via LeMat-Bulk
Functional: meta-GGA SCAN
Structure: PBEsol geometry

a = 4.442 Å, b = 4.442 Å, c = 4.815 Å
α = 90.00°, β = 90.00°, γ = 90.00°
Space group P4/mmm (No. 123)
Inequivalent atoms, fractional coordinates:
1 Be 0.000 0.500 0.000 x2
2 Ga 0.000 0.000 0.500 x1
3 Tc 0.000 0.000 0.000 x1
4 I 0.500 0.500 0.500 x1

- uncorrected energy (eV per cell) = -91.9
- formation energy from raw total energies (eV per atom) = 0.99
- size of the total moment (μB per atom) = 0.24